(1)
This record from the Alexandria database describes Rb2Cd2Ag after structural relaxation. The functional is PBE.

Properties
Energy relative to the elements, meV/atom: 46.1
Total magnetization, μB/cell: 0.0
Energy above the lowest structure with this stoichiometry, meV per atom: 78
DOS(E_F), states/eV per cell: 3.4
Crystal system: tetragonal

Structure (POSCAR):
```
Rb2Cd2Ag
1.0
4.2418 0.0000 0.0000
0.0000 4.2418 0.0000
2.1209 2.1209 11.0102
Rb Ag Cd
2 1 2
Direct
0.4019 0.4019 0.1963
0.5981 0.5981 0.8037
0.0000 0.0000 0.0000
0.7500 0.2500 0.5000
0.2500 0.7500 0.5000
```

---

(2)
This record from the Alexandria database describes TbPu2Sc after structural relaxation. The functional is PBE.

Properties
Energy relative to the elements, meV/atom: 172.0
Total magnetization, μB/cell: 12.5
Energy above the lowest structure with this stoichiometry, meV per atom: 0
DOS(E_F), states/eV per cell: 13.9
Crystal system: tetragonal

Structure (POSCAR):
```
TbPu2Sc
1.0
-1.4802 -2.9319 0.4666
2.9676 -1.4759 0.1402
0.2490 1.4281 9.7633
Sc Tb Pu
1 1 2
Direct
0.5000 0.5000 0.0000
0.5000 0.5000 0.5000
0.0000 0.0000 0.7622
0.0000 0.0000 0.2378
```